(1)
Pm14HoCd after structural relaxation, computed with PBE.

## Properties
As for the uncorrected energy: -72.184 eV per cell. For the total magnetic moment, the calculation gives 0.0 μB per formula unit. Its symmetry is Amm2, No. 38.

```
Pm14HoCd
1.0
10.251 0.000 0.000
0.000 5.085 5.086
0.000 -5.085 5.086
Pm Ho Cd
14 1 1
Direct
0.000 0.000 0.000 Pm
0.000 0.500 0.500 Pm
0.000 0.500 0.999 Pm
0.000 0.999 0.500 Pm
0.254 0.249 0.249 Pm
0.254 0.249 0.750 Pm
0.254 0.750 0.249 Pm
0.255 0.751 0.751 Pm
0.500 0.000 0.499 Pm
0.500 0.499 0.000 Pm
0.745 0.751 0.751 Pm
0.746 0.249 0.249 Pm
0.746 0.249 0.750 Pm
0.746 0.750 0.249 Pm
0.500 0.499 0.499 Ho
0.500 0.999 0.999 Cd
```

(2)
Pm2HoCd6 after structural relaxation, computed with PBE.

## Properties
As for the uncorrected energy: -22.530 eV per cell. For the total magnetic moment, the calculation gives 0.3 μB per formula unit. Its symmetry is P6/mmm, No. 191.

```
Pm2HoCd6
1.0
8.721 0.000 0.000
-4.361 7.553 0.000
0.000 0.000 3.434
Pm Ho Cd
2 1 6
Direct
0.333 0.667 0.000 Pm
0.667 0.333 0.000 Pm
0.000 0.000 0.000 Ho
0.000 0.331 0.500 Cd
0.000 0.669 0.500 Cd
0.331 0.000 0.500 Cd
0.331 0.331 0.500 Cd
0.669 0.000 0.500 Cd
0.669 0.669 0.500 Cd
```

(3)
Pm8Ho5Cd after structural relaxation, computed with PBE.

## Properties
As for the uncorrected energy: -58.917 eV per cell. For the total magnetic moment, the calculation gives 0.0 μB per formula unit. Its symmetry is I-4, No. 82.

```
Pm8Ho5Cd
1.0
-4.857 4.857 5.033
4.857 -4.857 5.033
4.857 4.857 -5.033
Pm Ho Cd
8 5 1
Direct
0.086 0.684 0.777 Pm
0.167 0.271 0.765 Pm
0.316 0.093 0.402 Pm
0.506 0.402 0.235 Pm
0.598 0.833 0.104 Pm
0.690 0.914 0.598 Pm
0.729 0.494 0.896 Pm
0.907 0.310 0.223 Pm
0.231 0.628 0.198 Ho
0.372 0.569 0.602 Ho
0.431 0.033 0.802 Ho
0.750 0.250 0.500 Ho
0.967 0.769 0.398 Ho
0.000 0.000 0.000 Cd
```

(4)
PmHo3Cd4 after structural relaxation, computed with PBE.

## Properties
As for the uncorrected energy: -24.663 eV per cell. For the total magnetic moment, the calculation gives 0.4 μB per formula unit. Its symmetry is P4/mmm, No. 123.

```
PmHo3Cd4
1.0
5.281 0.000 0.000
0.000 5.281 0.000
0.000 0.000 7.598
Pm Ho Cd
1 3 4
Direct
0.000 0.000 0.000 Pm
0.000 0.000 0.500 Ho
0.500 0.500 0.000 Ho
0.500 0.500 0.500 Ho
0.000 0.500 0.257 Cd
0.000 0.500 0.743 Cd
0.500 0.000 0.257 Cd
0.500 0.000 0.743 Cd
```

(5)
Pm6Ho2Cd after structural relaxation, computed with PBE.

## Properties
As for the uncorrected energy: -77.850 eV per cell. For the total magnetic moment, the calculation gives 0.0 μB per formula unit. Its symmetry is P-1, No. 2.

```
Pm6Ho2Cd
1.0
6.176 0.000 0.000
1.062 8.796 0.000
0.020 2.239 10.631
Pm Ho Cd
12 4 2
Direct
0.141 0.166 0.311 Pm
0.142 0.164 0.635 Pm
0.250 0.483 0.083 Pm
0.259 0.486 0.752 Pm
0.327 0.841 0.868 Pm
0.332 0.846 0.180 Pm
0.668 0.154 0.820 Pm
0.673 0.159 0.132 Pm
0.741 0.514 0.248 Pm
0.750 0.517 0.917 Pm
0.858 0.836 0.365 Pm
0.859 0.834 0.689 Pm
0.248 0.501 0.418 Ho
0.365 0.829 0.528 Ho
0.635 0.171 0.472 Ho
0.752 0.499 0.582 Ho
0.153 0.173 0.969 Cd
0.847 0.827 0.031 Cd
```

(6)
Pm7Ho12Cd after structural relaxation, computed with PBE.

## Properties
As for the uncorrected energy: -85.327 eV per cell. For the total magnetic moment, the calculation gives 0.0 μB per formula unit. Its symmetry is R-3, No. 148.

```
Pm7Ho12Cd
1.0
6.130 3.539 5.094
-6.130 3.539 5.094
0.000 -7.078 5.094
Pm Ho Cd
7 12 1
Direct
0.000 0.000 0.000 Pm
0.121 0.715 0.267 Pm
0.267 0.121 0.715 Pm
0.285 0.733 0.879 Pm
0.715 0.267 0.121 Pm
0.733 0.879 0.285 Pm
0.879 0.285 0.733 Pm
0.037 0.160 0.378 Ho
0.160 0.378 0.037 Ho
0.169 0.494 0.608 Ho
0.378 0.037 0.160 Ho
0.392 0.831 0.506 Ho
0.494 0.608 0.169 Ho
0.506 0.392 0.831 Ho
0.608 0.169 0.494 Ho
0.622 0.963 0.840 Ho
0.831 0.506 0.392 Ho
0.840 0.622 0.963 Ho
0.963 0.840 0.622 Ho
0.500 0.500 0.500 Cd
```

(7)
PmHoCd14 after structural relaxation, computed with PBE.

## Properties
As for the uncorrected energy: -24.405 eV per cell. For the total magnetic moment, the calculation gives 0.0 μB per formula unit. Its symmetry is P4/mmm, No. 123.

```
PmHoCd14
1.0
6.635 0.000 0.000
0.000 6.635 0.000
0.000 0.000 8.487
Pm Ho Cd
1 1 14
Direct
0.000 0.000 0.000 Pm
0.500 0.500 0.000 Ho
0.000 0.000 0.500 Cd
0.000 0.500 0.000 Cd
0.000 0.500 0.500 Cd
0.252 0.252 0.259 Cd
0.252 0.252 0.741 Cd
0.252 0.748 0.259 Cd
0.252 0.748 0.741 Cd
0.500 0.000 0.000 Cd
0.500 0.000 0.500 Cd
0.500 0.500 0.500 Cd
0.748 0.252 0.259 Cd
0.748 0.252 0.741 Cd
0.748 0.748 0.259 Cd
0.748 0.748 0.741 Cd
```

(8)
Pm3HoCd6 after structural relaxation, computed with PBE.

## Properties
As for the uncorrected energy: -54.504 eV per cell. For the total magnetic moment, the calculation gives 0.4 μB per formula unit. Its symmetry is P2_1/m, No. 11.

```
Pm3HoCd6
1.0
9.375 0.000 0.000
0.000 5.195 0.000
-2.862 0.000 10.779
Pm Ho Cd
6 2 12
Direct
0.027 0.250 0.392 Pm
0.152 0.750 0.218 Pm
0.262 0.250 0.002 Pm
0.738 0.750 0.998 Pm
0.848 0.250 0.782 Pm
0.973 0.750 0.608 Pm
0.446 0.250 0.603 Ho
0.554 0.750 0.397 Ho
0.049 0.750 0.911 Cd
0.169 0.250 0.706 Cd
0.268 0.750 0.516 Cd
0.353 0.750 0.813 Cd
0.365 0.250 0.306 Cd
0.451 0.750 0.109 Cd
0.549 0.250 0.891 Cd
0.635 0.750 0.694 Cd
0.647 0.250 0.187 Cd
0.732 0.250 0.484 Cd
0.831 0.750 0.294 Cd
0.951 0.250 0.089 Cd
```